(1)
Entry from the Alexandria database: a geometry-optimized HfMn structure (PBE).

Values from the calculation:
D(E_F): 0.831 states/eV/atom
Calculated total energy: -151.17 eV/cell
Crystal system: tetragonal

Cell and atoms, written as CIF:
```
data_HfMn
_chemical_formula_sum 'Hf8 Mn8'
_cell_length_a 9.400
_cell_length_b 9.400
_cell_length_c 2.969
_cell_angle_alpha 90.00
_cell_angle_beta 90.00
_cell_angle_gamma 90.00
_space_group_name_H-M_alt 'I 4/m m m'
_space_group_IT_number 139
_space_group_name_Hall '-I 4 2'
loop_
_atom_site_label
_atom_site_fract_x
_atom_site_fract_y
_atom_site_fract_z
Hf1 0.156 0.156 0.000
Mn1 0.000 0.356 0.500
```

=====

(2)
Entry from the Alexandria database: a geometry-optimized Li2Ce3Sn4 structure (PBE).

Values from the calculation:
D(E_F): 2.312 states/eV/atom
Calculated total energy: -85.08 eV/cell
Crystal system: monoclinic

Cell and atoms, written as CIF:
```
data_Li2Ce3Sn4
_chemical_formula_sum 'Li4 Ce6 Sn8'
_cell_length_a 11.515
_cell_length_b 4.724
_cell_length_c 9.024
_cell_angle_alpha 90.00
_cell_angle_beta 109.42
_cell_angle_gamma 90.00
_space_group_name_H-M_alt 'C 1 2/m 1'
_space_group_IT_number 12
loop_
_space_group_symop_operation_xyz
'x,y,z'
'-x,-y,-z'
'-x,y,-z'
'x,-y,z'
'x+1/2,y+1/2,z'
'-x+1/2,-y+1/2,-z'
'-x+1/2,y+1/2,-z'
'x+1/2,-y+1/2,z'
loop_
_atom_site_label
_atom_site_fract_x
_atom_site_fract_y
_atom_site_fract_z
Li1 0.174 0.000 0.349
Ce1 0.000 0.500 0.000
Ce2 0.139 0.000 0.682
Sn1 0.077 0.500 0.394
Sn2 0.206 0.000 0.068
```

=====

(3)
Entry from the Alexandria database: a geometry-optimized NaIn2Cu structure (PBE).

Values from the calculation:
D(E_F): 0.323 states/eV/atom
Calculated total energy: -10.53 eV/cell
Crystal system: tetragonal

Cell and atoms, written as CIF:
```
data_NaIn2Cu
_chemical_formula_sum 'Na1 In2 Cu1'
_cell_length_a 4.508
_cell_length_b 4.508
_cell_length_c 4.265
_cell_angle_alpha 90.00
_cell_angle_beta 90.00
_cell_angle_gamma 90.00
_space_group_name_H-M_alt 'P 4/m m m'
_space_group_IT_number 123
_space_group_name_Hall '-P 4 2'
loop_
_atom_site_label
_atom_site_fract_x
_atom_site_fract_y
_atom_site_fract_z
Na1 0.000 0.000 0.000
In1 0.000 0.500 0.500
Cu1 0.500 0.500 0.000
```

=====

(4)
Entry from the Alexandria database: a geometry-optimized NdGa4Cu2Au structure (PBE).

Values from the calculation:
D(E_F): 0.420 states/eV/atom
Calculated total energy: -92.04 eV/cell
Crystal system: trigonal

Cell and atoms, written as CIF:
```
data_NdGa4Cu2Au
_chemical_formula_sum 'Nd3 Ga12 Cu6 Au3'
_cell_length_a 4.2533
_cell_length_b 4.2533
_cell_length_c 27.6848
_cell_angle_alpha 90.00
_cell_angle_beta 90.00
_cell_angle_gamma 120.00
_space_group_name_H-M_alt 'R -3 m'
_space_group_IT_number 166
_space_group_name_Hall '-R 3 2"'
loop_
_atom_site_label
_atom_site_fract_x
_atom_site_fract_y
_atom_site_fract_z
Nd1 0.0000 0.0000 0.0000
Ga1 0.0000 0.0000 0.1206
Ga2 0.0000 0.0000 0.3999
Cu1 0.0000 0.0000 0.2489
Au1 0.0000 0.0000 0.5000
```

=====

(5)
Entry from the Alexandria database: a geometry-optimized SbTeSe4 structure (PBE).

Values from the calculation:
Energy relative to the elements, uncorrected: -0.08 eV/atom
D(E_F): 0.377 states/eV/atom
Distance to the lowest polymorph of the same formula: 0 meV/atom
Crystal system: monoclinic

Cell and atoms, written as CIF:
```
data_SbTeSe4
_chemical_formula_sum 'Sb1 Te1 Se4'
_cell_length_a 6.833
_cell_length_b 3.919
_cell_length_c 6.929
_cell_angle_alpha 90.00
_cell_angle_beta 110.61
_cell_angle_gamma 90.00
_space_group_name_H-M_alt 'P 1 2/m 1'
_space_group_IT_number 10
loop_
_space_group_symop_operation_xyz
'x,y,z'
'-x,-y,-z'
'-x,y,-z'
'x,-y,z'
loop_
_atom_site_label
_atom_site_fract_x
_atom_site_fract_y
_atom_site_fract_z
Sb1 0.000 0.000 0.000
Te1 0.500 0.500 0.000
Se1 0.240 0.000 0.741
Se2 0.259 0.500 0.259
```

=====

(6)
Entry from the Alexandria database: a geometry-optimized Na2PaFeS4 structure (PBE).

Values from the calculation:
Energy relative to the elements, uncorrected: -1.14 eV/atom
D(E_F): 0.631 states/eV/atom
Crystal system: monoclinic

Cell and atoms, written as CIF:
```
data_Na2PaFeS4
_chemical_formula_sum 'Na2 Pa1 Fe1 S4'
_cell_length_a 6.229
_cell_length_b 3.928
_cell_length_c 7.138
_cell_angle_alpha 90.00
_cell_angle_beta 108.43
_cell_angle_gamma 90.00
_space_group_name_H-M_alt 'P 1 2/m 1'
_space_group_IT_number 10
loop_
_space_group_symop_operation_xyz
'x,y,z'
'-x,-y,-z'
'-x,y,-z'
'x,-y,z'
loop_
_atom_site_label
_atom_site_fract_x
_atom_site_fract_y
_atom_site_fract_z
Na1 0.000 0.000 0.000
Na2 0.500 0.500 0.000
Pa1 0.000 0.500 0.500
Fe1 0.500 0.000 0.500
S1 0.253 0.000 0.725
S2 0.272 0.500 0.284
```

=====

(7)
Entry from the Alexandria database: a geometry-optimized RePCl2 structure (PBE).

Values from the calculation:
Energy relative to the elements, uncorrected: 0.50 eV/atom
D(E_F): 0.721 states/eV/atom
Distance to the lowest polymorph of the same formula: 782 meV/atom
Crystal system: trigonal

Cell and atoms, written as CIF:
```
data_RePCl2
_chemical_formula_sum 'Re3 P3 Cl6'
_cell_length_a 2.8624
_cell_length_b 2.8624
_cell_length_c 38.0660
_cell_angle_alpha 90.00
_cell_angle_beta 90.00
_cell_angle_gamma 120.00
_space_group_name_H-M_alt 'R -3 m'
_space_group_IT_number 166
_space_group_name_Hall '-R 3 2"'
loop_
_atom_site_label
_atom_site_fract_x
_atom_site_fract_y
_atom_site_fract_z
Re1 0.0000 0.0000 0.0000
P1 0.0000 0.0000 0.5000
Cl1 0.0000 0.0000 0.0588
```

=====

(8)
Entry from the Alexandria database: a geometry-optimized Y3TiCo structure (PBE).

Values from the calculation:
D(E_F): 3.050 states/eV/atom
Distance to the lowest polymorph of the same formula: 829 meV/atom
Crystal system: cubic

Cell and atoms, written as CIF:
```
data_Y3TiCo
_chemical_formula_sum 'Y3 Ti1 Co1'
_cell_length_a 5.212
_cell_length_b 5.212
_cell_length_c 5.212
_cell_angle_alpha 90.00
_cell_angle_beta 90.00
_cell_angle_gamma 90.00
_space_group_name_H-M_alt 'P m -3 m'
_space_group_IT_number 221
_space_group_name_Hall '-P 4 2 3'
loop_
_atom_site_label
_atom_site_fract_x
_atom_site_fract_y
_atom_site_fract_z
Y1 0.000 0.000 0.500
Ti1 0.000 0.000 0.000
Co1 0.500 0.500 0.500
```

=====

(9)
Entry from the Alexandria database: a geometry-optimized Dy2ScBi2 structure (PBE).

Values from the calculation:
D(E_F): 0.840 states/eV/atom
Calculated total energy: -103.87 eV/cell
Crystal system: orthorhombic

Cell and atoms, written as CIF:
```
data_Dy2ScBi2
_chemical_formula_sum 'Dy8 Sc4 Bi8'
_cell_length_a 8.156
_cell_length_b 12.164
_cell_length_c 6.275
_cell_angle_alpha 90.00
_cell_angle_beta 90.00
_cell_angle_gamma 90.00
_space_group_name_H-M_alt 'I b a m'
_space_group_IT_number 72
_space_group_name_Hall '-I 2 2c'
loop_
_atom_site_label
_atom_site_fract_x
_atom_site_fract_y
_atom_site_fract_z
Dy1 0.155 0.135 0.000
Sc1 0.000 0.500 0.250
Bi1 0.231 0.120 0.500
```

=====

(10)
Entry from the Alexandria database: a geometry-optimized Al5Ag7 structure (PBE).

Values from the calculation:
D(E_F): 0.229 states/eV/atom
Distance to the lowest polymorph of the same formula: 12 meV/atom
Crystal system: orthorhombic

Cell and atoms, written as CIF:
```
data_Al5Ag7
_chemical_formula_sum 'Al10 Ag14'
_cell_length_a 3.139
_cell_length_b 7.538
_cell_length_c 17.326
_cell_angle_alpha 90.00
_cell_angle_beta 90.00
_cell_angle_gamma 90.00
_space_group_name_H-M_alt 'A m m 2'
_space_group_IT_number 38
loop_
_space_group_symop_operation_xyz
'x,y,z'
'-x,-y,z'
'-x,y,z'
'x,-y,z'
'x,y+1/2,z+1/2'
'-x,-y+1/2,z+1/2'
'-x,y+1/2,z+1/2'
'x,-y+1/2,z+1/2'
loop_
_atom_site_label
_atom_site_fract_x
_atom_site_fract_y
_atom_site_fract_z
Al1 0.000 0.000 0.000
Al2 0.000 0.000 0.155
Al3 0.000 0.000 0.814
Al4 0.500 0.238 0.573
Ag1 0.000 0.000 0.327
Ag2 0.000 0.000 0.489
Ag3 0.000 0.000 0.653
Ag4 0.500 0.216 0.909
Ag5 0.500 0.242 0.236
```

=====

(11)
Entry from the Alexandria database: a geometry-optimized MgCrPtRh structure (PBE).

Values from the calculation:
D(E_F): 1.126 states/eV/atom
Calculated total energy: -104.01 eV/cell
Crystal system: cubic

Cell and atoms, written as CIF:
```
data_MgCrPtRh
_chemical_formula_sum 'Mg4 Cr4 Pt4 Rh4'
_cell_length_a 6.196
_cell_length_b 6.196
_cell_length_c 6.196
_cell_angle_alpha 90.00
_cell_angle_beta 90.00
_cell_angle_gamma 90.00
_space_group_name_H-M_alt 'F -4 3 m'
_space_group_IT_number 216
_space_group_name_Hall 'F -4 2 3'
loop_
_atom_site_label
_atom_site_fract_x
_atom_site_fract_y
_atom_site_fract_z
Mg1 0.000 0.000 0.000
Cr1 0.000 0.000 0.500
Pt1 0.250 0.250 0.750
Rh1 0.250 0.250 0.250
```

=====

(12)
Entry from the Alexandria database: a geometry-optimized Ca2TiGe structure (PBE).

Values from the calculation:
D(E_F): 0.476 states/eV/atom
Calculated total energy: -62.63 eV/cell
Crystal system: tetragonal

Cell and atoms, written as CIF:
```
data_Ca2TiGe
_chemical_formula_sum 'Ca8 Ti4 Ge4'
_cell_length_a 10.394
_cell_length_b 10.394
_cell_length_c 5.069
_cell_angle_alpha 90.00
_cell_angle_beta 90.00
_cell_angle_gamma 90.00
_space_group_name_H-M_alt 'I -4 2 d'
_space_group_IT_number 122
_space_group_name_Hall 'I -4 2bw'
loop_
_atom_site_label
_atom_site_fract_x
_atom_site_fract_y
_atom_site_fract_z
Ca1 0.111 0.250 0.125
Ti1 0.000 0.000 0.500
Ge1 0.000 0.000 0.000
```